1.
{"formula": "NaHfPtO4", "functional": "PBE", "state": "relaxed", "lattice": [[-3.188, 3.197, 4.819], [3.188, -3.197, 4.819], [3.188, 3.197, -4.819]], "species": ["Na", "Na", "Hf", "Hf", "Pt", "Pt", "O", "O", "O", "O", "O", "O", "O", "O"], "frac_coords": [[0.364, 0.114, 0.250], [0.636, 0.886, 0.750], [0.000, 0.000, 0.500], [0.000, 0.500, 0.000], [0.000, 0.500, 0.500], [0.500, 0.500, 0.000], [0.199, 0.240, 0.959], [0.219, 0.760, 0.459], [0.222, 0.266, 0.545], [0.222, 0.677, 0.955], [0.778, 0.323, 0.045], [0.778, 0.734, 0.455], [0.781, 0.240, 0.541], [0.801, 0.760, 0.041]], "space_group": "Imma, No. 74", "final_energy_ev_per_atom": -7.2110, "raw_formation_energy_ev_per_atom": -1.9044}


2.
{"formula": "K4Rb3AgCl8", "functional": "PBE", "state": "relaxed", "lattice": [[7.913, -4.517, 0.000], [7.913, 4.517, 0.000], [-5.055, 0.000, 7.425]], "species": ["K", "K", "K", "K", "Rb", "Rb", "Rb", "Ag", "Cl", "Cl", "Cl", "Cl", "Cl", "Cl", "Cl", "Cl"], "frac_coords": [[0.000, 0.000, 0.000], [0.000, 0.500, 0.000], [0.500, 0.000, 0.000], [0.500, 0.500, 0.000], [0.000, 0.000, 0.500], [0.000, 0.500, 0.500], [0.500, 0.000, 0.500], [0.500, 0.500, 0.500], [0.232, 0.232, 0.223], [0.254, 0.254, 0.763], [0.277, 0.716, 0.269], [0.284, 0.723, 0.731], [0.716, 0.277, 0.269], [0.723, 0.284, 0.731], [0.746, 0.746, 0.237], [0.768, 0.768, 0.777]], "space_group": "C2/m, No. 12", "final_energy_ev_per_atom": -3.2898, "raw_formation_energy_ev_per_atom": -1.7324}


3.
{"formula": "SbMoIr2", "functional": "PBE", "state": "relaxed", "lattice": [[-2.902, 2.902, 5.739], [2.902, -2.902, 5.739], [2.902, 2.902, -5.739]], "species": ["Sb", "Sb", "Mo", "Mo", "Ir", "Ir", "Ir", "Ir"], "frac_coords": [[0.000, 0.000, 0.000], [0.750, 0.250, 0.500], [0.250, 0.750, 0.500], [0.500, 0.500, 0.000], [0.147, 0.625, 0.022], [0.375, 0.397, 0.522], [0.603, 0.125, 0.978], [0.875, 0.853, 0.478]], "space_group": "I-42d, No. 122", "final_energy_ev_per_atom": -7.6033, "raw_formation_energy_ev_per_atom": 0.5656}


4.
{"formula": "Ac3PdC2N6", "functional": "PBE", "state": "relaxed", "lattice": [[5.546, 0.000, 0.000], [-2.773, 4.803, 0.000], [0.000, 0.000, 6.858]], "species": ["Ac", "Ac", "Ac", "Pd", "C", "C", "N", "N", "N", "N", "N", "N"], "frac_coords": [[0.000, 0.000, 0.000], [0.333, 0.667, 0.665], [0.667, 0.333, 0.335], [0.000, 0.000, 0.500], [0.333, 0.667, 0.259], [0.667, 0.333, 0.741], [0.190, 0.380, 0.262], [0.190, 0.810, 0.262], [0.380, 0.190, 0.738], [0.620, 0.810, 0.262], [0.810, 0.190, 0.738], [0.810, 0.620, 0.738]], "space_group": "P-3m1, No. 164", "final_energy_ev_per_atom": -7.6699, "raw_formation_energy_ev_per_atom": -0.5100}